Entry 1:
## ZnRu2Pt (GGA-PBE)

Data for a relaxed structure of ZnRu2Pt.

Output
density of states at the Fermi level	1.215	states/eV per atom
E	-0.2375	Ha/atom
crystal system	monoclinic

Cell: 4.743 4.743 4.690 Å, 80.50 80.50 33.52°
Element x y z (fractional)
Pt 0.250 0.250 0.250
Ru 0.502 0.502 0.503
Ru 0.998 0.998 0.997
Zn 0.750 0.750 0.750

***

Entry 2:
## Zn2RuPt (GGA-PBE)

Data for a relaxed structure of Zn2RuPt.

Output
density of states at the Fermi level	0.982	states/eV per atom
E	-0.1687	Ha/atom
crystal system	orthorhombic

Cell: 2.722 3.892 5.458 Å, 90.00 90.00 90.00°
Element x y z (fractional)
Zn 0.500 0.500 0.256
Zn 0.000 0.000 0.990
Pt 0.000 0.000 0.489
Ru 0.500 0.500 0.764

***

Entry 3:
## ZnRuPt2 (GGA-PBE)

Data for a relaxed structure of ZnRuPt2.

Output
density of states at the Fermi level	1.191	states/eV per atom
E	-0.2153	Ha/atom
crystal system	orthorhombic

Cell: 4.747 4.747 2.766 Å, 90.01 90.01 108.93°
Element x y z (fractional)
Pt 0.000 0.000 0.000
Pt 0.500 0.500 0.000
Zn 0.000 0.500 0.500
Ru 0.500 0.000 0.500

***

Entry 4:
## ZnRu2Pt (GGA-PBE)

Data for a relaxed structure of ZnRu2Pt.

Output
density of states at the Fermi level	1.316	states/eV per atom
E	-0.2304	Ha/atom
crystal system	tetragonal

Cell: 4.555 4.555 2.811 Å, 90.00 90.00 90.00°
Element x y z (fractional)
Ru 0.000 0.000 0.000
Ru 0.500 0.500 0.000
Pt 0.000 0.500 0.500
Zn 0.500 0.000 0.500